#w
Here is a geometry-optimized CaMg14Si structure from the Alexandria database. Energies are from PBE.

a = 6.465 Å, b = 6.465 Å, c = 10.247 Å
α = 90.00°, β = 90.00°, γ = 120.00°
Fractional positions:
1 Ca 0.000 0.000 0.000
2 Mg 0.010 0.505 0.000
3 Mg 0.164 0.328 0.267
4 Mg 0.164 0.328 0.733
5 Mg 0.164 0.836 0.267
6 Mg 0.164 0.836 0.733
7 Mg 0.495 0.505 0.000
8 Mg 0.495 0.990 0.000
9 Mg 0.505 0.010 0.500
10 Mg 0.505 0.495 0.500
11 Mg 0.667 0.333 0.244
12 Mg 0.667 0.333 0.756
13 Mg 0.672 0.836 0.267
14 Mg 0.672 0.836 0.733
15 Mg 0.990 0.495 0.500
16 Si 0.000 0.000 0.500



#x
Here is a geometry-optimized CaMg14Si structure from the Alexandria database. Energies are from PBE.

a = 10.317 Å, b = 6.536 Å, c = 6.536 Å
α = 56.92°, β = 90.00°, γ = 90.00°
Fractional positions:
1 Ca 0.000 0.000 0.000
2 Mg 0.000 0.011 0.493
3 Mg 0.000 0.493 0.011
4 Mg 0.225 0.641 0.641
5 Mg 0.252 0.152 0.648
6 Mg 0.252 0.648 0.152
7 Mg 0.258 0.156 0.156
8 Mg 0.500 0.493 0.493
9 Mg 0.500 0.495 0.985
10 Mg 0.500 0.985 0.495
11 Mg 0.500 0.989 0.989
12 Mg 0.742 0.156 0.156
13 Mg 0.748 0.152 0.648
14 Mg 0.748 0.648 0.152
15 Mg 0.775 0.641 0.641
16 Si 0.000 0.470 0.470



On energetic grounds, #x is preferred over the next structure by 2.4 kJ/mol of atoms.



#w
Here is a geometry-optimized CaTbSmMg structure from the Alexandria database. Energies are from PBE.

a = 3.636 Å, b = 3.636 Å, c = 9.756 Å
α = 90.00°, β = 90.00°, γ = 90.00°
Fractional positions:
1 Ca 0.000 0.000 0.000
2 Tb 0.000 0.000 0.458
3 Sm 0.500 0.500 0.706
4 Mg 0.500 0.500 0.238



#x
Here is a geometry-optimized CaTbSmMg structure from the Alexandria database. Energies are from PBE.

a = 7.950 Å, b = 7.950 Å, c = 7.950 Å
α = 90.00°, β = 90.00°, γ = 90.00°
Fractional positions:
1 Ca 0.000 0.000 0.000
2 Ca 0.000 0.500 0.500
3 Ca 0.500 0.000 0.500
4 Ca 0.500 0.500 0.000
5 Tb 0.250 0.250 0.250
6 Tb 0.250 0.750 0.750
7 Tb 0.750 0.250 0.750
8 Tb 0.750 0.750 0.250
9 Sm 0.250 0.250 0.750
10 Sm 0.250 0.750 0.250
11 Sm 0.750 0.250 0.250
12 Sm 0.750 0.750 0.750
13 Mg 0.000 0.000 0.500
14 Mg 0.000 0.500 0.000
15 Mg 0.500 0.000 0.000
16 Mg 0.500 0.500 0.500



On energetic grounds, #w is preferred over the next structure by 7.3 kJ/mol of atoms.



#w
Here is a geometry-optimized CaSmMgZn structure from the Alexandria database. Energies are from PBE.

a = 7.540 Å, b = 7.540 Å, c = 7.540 Å
α = 90.00°, β = 90.00°, γ = 90.00°
Fractional positions:
1 Ca 0.000 0.000 0.000
2 Ca 0.000 0.500 0.500
3 Ca 0.500 0.000 0.500
4 Ca 0.500 0.500 0.000
5 Sm 0.000 0.000 0.500
6 Sm 0.000 0.500 0.000
7 Sm 0.500 0.000 0.000
8 Sm 0.500 0.500 0.500
9 Mg 0.250 0.250 0.250
10 Mg 0.250 0.750 0.750
11 Mg 0.750 0.250 0.750
12 Mg 0.750 0.750 0.250
13 Zn 0.250 0.250 0.750
14 Zn 0.250 0.750 0.250
15 Zn 0.750 0.250 0.250
16 Zn 0.750 0.750 0.750



#x
Here is a geometry-optimized CaSmMgZn structure from the Alexandria database. Energies are from PBE.

a = 3.715 Å, b = 3.715 Å, c = 7.887 Å
α = 90.00°, β = 90.00°, γ = 90.00°
Fractional positions:
1 Ca 0.000 0.000 0.000
2 Sm 0.000 0.000 0.448
3 Mg 0.500 0.500 0.719
4 Zn 0.500 0.500 0.236



On energetic grounds, #x is preferred over the next structure by 2.7 kJ/mol of atoms.



#w
Here is a geometry-optimized Ca2Mg2Sn structure from the Alexandria database. Energies are from PBE.

a = 7.615 Å, b = 7.615 Å, c = 5.084 Å
α = 90.00°, β = 90.00°, γ = 90.00°
Fractional positions:
1 Ca 0.175 0.325 0.000
2 Ca 0.325 0.825 0.000
3 Ca 0.675 0.175 0.000
4 Ca 0.825 0.675 0.000
5 Mg 0.133 0.633 0.500
6 Mg 0.367 0.133 0.500
7 Mg 0.633 0.867 0.500
8 Mg 0.867 0.367 0.500
9 Sn 0.000 0.000 0.500
10 Sn 0.500 0.500 0.500



#x
Here is a geometry-optimized Ca2Mg2Sn structure from the Alexandria database. Energies are from PBE.

a = 4.676 Å, b = 4.676 Å, c = 14.570 Å
α = 90.00°, β = 90.00°, γ = 90.00°
Fractional positions:
1 Ca 0.000 0.500 0.250
2 Ca 0.000 0.500 0.750
3 Ca 0.500 0.000 0.250
4 Ca 0.500 0.000 0.750
5 Mg 0.000 0.000 0.093
6 Mg 0.000 0.000 0.907
7 Mg 0.500 0.500 0.407
8 Mg 0.500 0.500 0.593
9 Sn 0.000 0.000 0.500
10 Sn 0.500 0.500 0.000



On energetic grounds, #w is preferred over the next structure by 40.1 kJ/mol of atoms.



#w
Here is a geometry-optimized CaMg3Sn3 structure from the Alexandria database. Energies are from PBE.

a = 7.853 Å, b = 7.853 Å, c = 7.853 Å
α = 90.00°, β = 90.00°, γ = 90.00°
Fractional positions:
1 Ca 0.000 0.000 0.000
2 Ca 0.500 0.500 0.500
3 Mg 0.000 0.250 0.500
4 Mg 0.000 0.750 0.500
5 Mg 0.250 0.500 0.000
6 Mg 0.500 0.000 0.250
7 Mg 0.500 0.000 0.750
8 Mg 0.750 0.500 0.000
9 Sn 0.000 0.500 0.250
10 Sn 0.000 0.500 0.750
11 Sn 0.250 0.000 0.500
12 Sn 0.500 0.250 0.000
13 Sn 0.500 0.750 0.000
14 Sn 0.750 0.000 0.500



#x
Here is a geometry-optimized CaMg3Sn3 structure from the Alexandria database. Energies are from PBE.

a = 8.094 Å, b = 8.094 Å, c = 8.094 Å
α = 62.44°, β = 62.44°, γ = 62.44°
Fractional positions:
1 Ca 0.166 0.166 0.166
2 Ca 0.834 0.834 0.834
3 Mg 0.027 0.390 0.734
4 Mg 0.266 0.973 0.610
5 Mg 0.390 0.734 0.027
6 Mg 0.610 0.266 0.973
7 Mg 0.734 0.027 0.390
8 Mg 0.973 0.610 0.266
9 Sn 0.140 0.736 0.434
10 Sn 0.264 0.566 0.860
11 Sn 0.434 0.140 0.736
12 Sn 0.566 0.860 0.264
13 Sn 0.736 0.434 0.140
14 Sn 0.860 0.264 0.566



On energetic grounds, #x is preferred over the next structure by 34.8 kJ/mol of atoms.



#w
Here is a geometry-optimized SrCa2Mg2 structure from the Alexandria database. Energies are from PBE.

a = 5.090 Å, b = 5.090 Å, c = 14.911 Å
α = 90.00°, β = 90.00°, γ = 90.00°
Fractional positions:
1 Sr 0.000 0.000 0.000
2 Sr 0.500 0.500 0.500
3 Ca 0.000 0.500 0.250
4 Ca 0.000 0.500 0.750
5 Ca 0.500 0.000 0.250
6 Ca 0.500 0.000 0.750
7 Mg 0.000 0.000 0.402
8 Mg 0.000 0.000 0.598
9 Mg 0.500 0.500 0.098
10 Mg 0.500 0.500 0.902



#x
Here is a geometry-optimized SrCa2Mg2 structure from the Alexandria database. Energies are from PBE.

a = 9.703 Å, b = 9.703 Å, c = 3.726 Å
α = 90.00°, β = 90.00°, γ = 90.00°
Fractional positions:
1 Sr 0.000 0.000 0.000
2 Sr 0.500 0.500 0.000
3 Ca 0.130 0.370 0.000
4 Ca 0.370 0.870 0.000
5 Ca 0.630 0.130 0.000
6 Ca 0.870 0.630 0.000
7 Mg 0.166 0.666 0.500
8 Mg 0.334 0.166 0.500
9 Mg 0.666 0.834 0.500
10 Mg 0.834 0.334 0.500



#y
Here is a geometry-optimized SrCa2Mg2 structure from the Alexandria database. Energies are from PBE.

a = 9.189 Å, b = 9.189 Å, c = 4.367 Å
α = 90.00°, β = 90.00°, γ = 90.00°
Fractional positions:
1 Sr 0.000 0.000 0.000
2 Sr 0.500 0.500 0.000
3 Ca 0.166 0.334 0.500
4 Ca 0.334 0.834 0.500
5 Ca 0.666 0.166 0.500
6 Ca 0.834 0.666 0.500
7 Mg 0.123 0.623 0.000
8 Mg 0.377 0.123 0.000
9 Mg 0.623 0.877 0.000
10 Mg 0.877 0.377 0.000



On energetic grounds, #y is preferred over the next structure by 1.4 kJ/mol of atoms.



#w
Here is a geometry-optimized SrCa2Mg2 structure from the Alexandria database. Energies are from PBE.

a = 3.947 Å, b = 5.949 Å, c = 15.303 Å
α = 90.00°, β = 97.46°, γ = 90.00°
Fractional positions:
1 Sr 0.145 0.250 0.293
2 Sr 0.855 0.750 0.707
3 Ca 0.045 0.750 0.091
4 Ca 0.231 0.750 0.463
5 Ca 0.769 0.250 0.537
6 Ca 0.955 0.250 0.909
7 Mg 0.365 0.250 0.725
8 Mg 0.455 0.750 0.905
9 Mg 0.545 0.250 0.095
10 Mg 0.635 0.750 0.275



#x
Here is a geometry-optimized SrCa2Mg2 structure from the Alexandria database. Energies are from PBE.

a = 4.648 Å, b = 4.648 Å, c = 18.025 Å
α = 90.00°, β = 90.00°, γ = 90.00°
Fractional positions:
1 Sr 0.000 0.000 0.000
2 Sr 0.500 0.500 0.500
3 Ca 0.000 0.000 0.389
4 Ca 0.000 0.000 0.611
5 Ca 0.500 0.500 0.111
6 Ca 0.500 0.500 0.889
7 Mg 0.000 0.500 0.250
8 Mg 0.000 0.500 0.750
9 Mg 0.500 0.000 0.250
10 Mg 0.500 0.000 0.750



On energetic grounds, #w is preferred over the next structure by 18.7 kJ/mol of atoms.



#w
Here is a geometry-optimized Sr2Ca2Mg structure from the Alexandria database. Energies are from PBE.

a = 8.935 Å, b = 8.935 Å, c = 5.847 Å
α = 90.00°, β = 90.00°, γ = 90.00°
Fractional positions:
1 Sr 0.149 0.351 0.000
2 Sr 0.351 0.851 0.000
3 Sr 0.649 0.149 0.000
4 Sr 0.851 0.649 0.000
5 Ca 0.160 0.660 0.500
6 Ca 0.340 0.160 0.500
7 Ca 0.660 0.840 0.500
8 Ca 0.840 0.340 0.500
9 Mg 0.000 0.000 0.000
10 Mg 0.500 0.500 0.000



#x
Here is a geometry-optimized Sr2Ca2Mg structure from the Alexandria database. Energies are from PBE.

a = 4.142 Å, b = 4.142 Å, c = 24.735 Å
α = 90.00°, β = 90.00°, γ = 90.00°
Fractional positions:
1 Sr 0.000 0.000 0.085
2 Sr 0.000 0.000 0.915
3 Sr 0.500 0.500 0.415
4 Sr 0.500 0.500 0.585
5 Ca 0.000 0.000 0.301
6 Ca 0.000 0.000 0.699
7 Ca 0.500 0.500 0.199
8 Ca 0.500 0.500 0.801
9 Mg 0.000 0.000 0.500
10 Mg 0.500 0.500 0.000



On energetic grounds, #x is preferred over the next structure by 22.6 kJ/mol of atoms.



#w
Here is a geometry-optimized Sr2Ca2Mg structure from the Alexandria database. Energies are from PBE.

a = 8.601 Å, b = 8.601 Å, c = 6.117 Å
α = 90.00°, β = 90.00°, γ = 90.00°
Fractional positions:
1 Sr 0.171 0.329 0.000
2 Sr 0.329 0.829 0.000
3 Sr 0.671 0.171 0.000
4 Sr 0.829 0.671 0.000
5 Ca 0.147 0.647 0.500
6 Ca 0.353 0.147 0.500
7 Ca 0.647 0.853 0.500
8 Ca 0.853 0.353 0.500
9 Mg 0.000 0.000 0.500
10 Mg 0.500 0.500 0.500



#x
Here is a geometry-optimized Sr2Ca2Mg structure from the Alexandria database. Energies are from PBE.

a = 14.606 Å, b = 14.606 Å, c = 14.606 Å
α = 157.28°, β = 157.28°, γ = 32.35°
Fractional positions:
1 Sr 0.056 0.306 0.750
2 Sr 0.306 0.056 0.250
3 Sr 0.694 0.944 0.750
4 Sr 0.944 0.694 0.250
5 Ca 0.201 0.451 0.750
6 Ca 0.451 0.201 0.250
7 Ca 0.549 0.799 0.750
8 Ca 0.799 0.549 0.250
9 Mg 0.375 0.625 0.750
10 Mg 0.625 0.375 0.250



On energetic grounds, #x is preferred over the next structure by 2.2 kJ/mol of atoms.



#w
Here is a geometry-optimized SrCa4Mg structure from the Alexandria database. Energies are from PBE.

a = 7.143 Å, b = 7.143 Å, c = 7.143 Å
α = 60.00°, β = 60.00°, γ = 60.00°
Fractional positions:
1 Sr 0.000 0.000 0.000
2 Ca 0.375 0.375 0.375
3 Ca 0.375 0.375 0.874
4 Ca 0.375 0.874 0.375
5 Ca 0.874 0.375 0.375
6 Mg 0.750 0.750 0.750



#x
Here is a geometry-optimized SrCa4Mg structure from the Alexandria database. Energies are from PBE.

a = 10.857 Å, b = 5.085 Å, c = 9.246 Å
α = 90.00°, β = 90.00°, γ = 90.00°
Fractional positions:
1 Sr 0.250 0.000 0.105
2 Sr 0.750 0.000 0.895
3 Ca 0.000 0.000 0.500
4 Ca 0.059 0.500 0.807
5 Ca 0.250 0.500 0.451
6 Ca 0.441 0.500 0.807
7 Ca 0.500 0.000 0.500
8 Ca 0.559 0.500 0.193
9 Ca 0.750 0.500 0.549
10 Ca 0.941 0.500 0.193
11 Mg 0.250 0.000 0.710
12 Mg 0.750 0.000 0.290



On energetic grounds, #x is preferred over the next structure by 13.6 kJ/mol of atoms.



#w
Here is a geometry-optimized Sr2Ca8Mg structure from the Alexandria database. Energies are from PBE.

a = 5.666 Å, b = 5.666 Å, c = 15.037 Å
α = 90.00°, β = 90.00°, γ = 90.00°
Fractional positions:
1 Sr 0.000 0.000 0.189
2 Sr 0.000 0.000 0.811
3 Ca 0.000 0.500 0.000
4 Ca 0.000 0.500 0.373
5 Ca 0.000 0.500 0.627
6 Ca 0.500 0.000 0.000
7 Ca 0.500 0.000 0.373
8 Ca 0.500 0.000 0.627
9 Ca 0.500 0.500 0.183
10 Ca 0.500 0.500 0.817
11 Mg 0.000 0.000 0.500



#x
Here is a geometry-optimized Sr2Ca8Mg structure from the Alexandria database. Energies are from PBE.

a = 10.561 Å, b = 10.561 Å, c = 7.586 Å
α = 94.17°, β = 94.17°, γ = 33.38°
Fractional positions:
1 Sr 0.223 0.223 0.150
2 Sr 0.777 0.777 0.850
3 Ca 0.034 0.034 0.248
4 Ca 0.145 0.145 0.669
5 Ca 0.337 0.337 0.597
6 Ca 0.415 0.415 0.078
7 Ca 0.585 0.585 0.922
8 Ca 0.663 0.663 0.403
9 Ca 0.855 0.855 0.331
10 Ca 0.966 0.966 0.752
11 Mg 0.500 0.500 0.500



On energetic grounds, #x is preferred over the next structure by 3.1 kJ/mol of atoms.